(1)
This record from Alexandria via LeMat-Bulk describes crystalline Rb3TmCl6 at its relaxed geometry. The functional is PBE.

Spin magnetization in μB per formula unit: 0.00
Calculated density in Mg/m³: 3.0
E_form (uncorrected) in eV/atom: -2.143

Cell lengths 7.767, 8.179, 11.092 Å; angles 90.00, 89.42, 90.00 degrees
Atoms (fractional coordinates):
Tm1 0.500 0.500 0.500
Tm2 0.000 0.000 0.000
Rb1 0.500 0.500 0.000
Rb2 0.000 0.000 0.500
Rb3 0.475 0.067 0.245
Rb4 0.525 0.933 0.755
Rb5 0.025 0.567 0.255
Rb6 0.975 0.433 0.745
Cl1 0.271 0.824 0.051
Cl2 0.729 0.176 0.949
Cl3 0.835 0.736 0.930
Cl4 0.116 0.048 0.780
Cl5 0.165 0.264 0.070
Cl6 0.229 0.324 0.449
Cl7 0.616 0.452 0.280
Cl8 0.384 0.548 0.720
Cl9 0.665 0.236 0.570
Cl10 0.771 0.676 0.551
Cl11 0.335 0.764 0.430
Cl12 0.884 0.952 0.220

---

(2)
This record from Alexandria via LeMat-Bulk describes crystalline Rb6Tm3Cl14 at its relaxed geometry. The functional is PBE.

Spin magnetization in μB per formula unit: 0.00
Calculated density in Mg/m³: 2.8
E_form (uncorrected) in eV/atom: -2.027

Cell lengths 7.347, 11.825, 11.825 Å; angles 120.00, 90.00, 90.00 degrees
Atoms (fractional coordinates):
Cl1 0.026 0.333 0.667
Cl2 0.505 0.197 0.747
Cl3 0.232 0.530 0.123
Cl4 0.981 0.059 0.206
Cl5 0.505 0.253 0.450
Cl6 0.640 0.803 0.539
Cl7 0.981 0.794 0.853
Cl8 0.640 0.736 0.197
Cl9 0.232 0.593 0.470
Cl10 0.232 0.877 0.407
Cl11 0.505 0.550 0.803
Cl12 0.981 0.147 0.941
Cl13 0.640 0.461 0.264
Cl14 0.459 0.000 0.000
Rb1 0.803 0.007 0.444
Rb2 0.803 0.437 0.993
Rb3 0.260 0.289 0.206
Rb4 0.260 0.918 0.711
Rb5 0.803 0.556 0.563
Rb6 0.260 0.794 0.082
Tm1 0.364 0.333 0.667
Tm2 0.797 0.000 0.000
Tm3 0.433 0.667 0.333

---

(3)
This record from Alexandria via LeMat-Bulk describes crystalline RbTmCl4 at its relaxed geometry. The functional is PBE.

Distance to the lowest polymorph of the same formula in meV/atom: 0
Spin magnetization in μB per formula unit: 0.00
Calculated density in Mg/m³: 2.5
E_form (uncorrected) in eV/atom: -2.207

Cell lengths 6.990, 9.448, 9.448 Å; angles 120.01, 97.03, 97.03 degrees
Atoms (fractional coordinates):
Rb1 0.250 0.757 0.743
Rb2 0.750 0.243 0.257
Tm1 0.750 0.936 0.564
Tm2 0.250 0.064 0.436
Cl1 0.814 0.652 0.494
Cl2 0.877 0.906 0.295
Cl3 0.686 0.006 0.848
Cl4 0.314 0.994 0.152
Cl5 0.123 0.094 0.705
Cl6 0.186 0.348 0.506
Cl7 0.377 0.795 0.406
Cl8 0.623 0.205 0.594

---

(4)
This record from Alexandria via LeMat-Bulk describes crystalline Rb2TmCl4 at its relaxed geometry. The functional is PBE.

Spin magnetization in μB per formula unit: 0.19
Calculated density in Mg/m³: 3.4
E_form (uncorrected) in eV/atom: -1.864

Cell lengths 5.282, 5.282, 9.251 Å; angles 73.41, 73.41, 90.00 degrees
Atoms (fractional coordinates):
Cl1 0.500 0.000 0.000
Cl2 0.000 0.500 0.000
Cl3 0.157 0.157 0.686
Cl4 0.843 0.843 0.314
Tm1 0.000 0.000 0.000
Rb1 0.356 0.356 0.289
Rb2 0.644 0.644 0.711

---

(5)
This record from Alexandria via LeMat-Bulk describes crystalline Rb3TmCl6 at its relaxed geometry. The functional is PBE.

Spin magnetization in μB per formula unit: 0.00
Calculated density in Mg/m³: 3.2
E_form (uncorrected) in eV/atom: -2.146

Cell lengths 13.542, 13.542, 13.104 Å; angles 80.82, 80.82, 34.59 degrees
Atoms (fractional coordinates):
Cl1 0.370 0.131 0.684
Cl2 0.387 0.272 0.425
Cl3 0.728 0.613 0.075
Cl4 0.642 0.480 0.818
Cl5 0.738 0.152 0.935
Cl6 0.869 0.630 0.816
Cl7 0.613 0.728 0.575
Cl8 0.630 0.869 0.316
Cl9 0.520 0.358 0.682
Cl10 0.152 0.738 0.435
Cl11 0.262 0.848 0.065
Cl12 0.021 0.101 0.294
Cl13 0.480 0.642 0.318
Cl14 0.899 0.979 0.206
Cl15 0.209 0.153 0.466
Cl16 0.847 0.791 0.034
Cl17 0.131 0.370 0.184
Cl18 0.358 0.520 0.182
Cl19 0.848 0.262 0.565
Cl20 0.791 0.847 0.534
Cl21 0.101 0.021 0.794
Cl22 0.272 0.387 0.925
Cl23 0.979 0.899 0.706
Cl24 0.153 0.209 0.966
Rb1 0.353 0.976 0.192
Rb2 0.172 0.718 0.944
Rb3 0.835 0.471 0.353
Rb4 0.976 0.353 0.692
Rb5 0.529 0.165 0.147
Rb6 0.647 0.024 0.808
Rb7 0.828 0.282 0.056
Rb8 0.024 0.647 0.308
Rb9 0.282 0.828 0.556
Rb10 0.718 0.172 0.444
Rb11 0.165 0.529 0.647
Rb12 0.471 0.835 0.853
Tm1 0.500 0.000 0.500
Tm2 0.799 0.201 0.750
Tm3 0.000 0.500 0.000
Tm4 0.201 0.799 0.250

---

(6)
This record from Alexandria via LeMat-Bulk describes crystalline Rb2UCl5 at its relaxed geometry. The functional is PBE.

Spin magnetization in μB per formula unit: 3.00
Calculated density in Mg/m³: 3.8
E_form (uncorrected) in eV/atom: -1.865

Cell lengths 8.388, 9.004, 13.496 Å; angles 90.00, 90.00, 90.00 degrees
Atoms (fractional coordinates):
Cl1 0.342 0.540 0.925
Cl2 0.158 0.540 0.425
Cl3 0.623 0.250 0.827
Cl4 0.156 0.250 0.697
Cl5 0.596 0.750 0.510
Cl6 0.656 0.750 0.803
Cl7 0.844 0.750 0.303
Cl8 0.404 0.250 0.490
Cl9 0.904 0.750 0.010
Cl10 0.344 0.250 0.197
Cl11 0.842 0.460 0.575
Cl12 0.377 0.750 0.173
Cl13 0.096 0.250 0.990
Cl14 0.158 0.960 0.425
Cl15 0.658 0.460 0.075
Cl16 0.342 0.960 0.925
Cl17 0.658 0.040 0.075
Cl18 0.123 0.750 0.673
Cl19 0.877 0.250 0.327
Cl20 0.842 0.040 0.575
U1 0.435 0.250 0.998
U2 0.065 0.250 0.498
U3 0.565 0.750 0.002
U4 0.935 0.750 0.502
Rb1 0.949 0.496 0.829
Rb2 0.449 0.996 0.671
Rb3 0.551 0.004 0.329
Rb4 0.949 0.004 0.829
Rb5 0.551 0.496 0.329
Rb6 0.449 0.504 0.671
Rb7 0.051 0.996 0.171
Rb8 0.051 0.504 0.171